# Nd4Y3PuTe8

A relaxed structure of Nd4Y3PuTe8 (PBE-GGA, Alexandria).

```
Nd4Y3PuTe8
1.0
-5.4300 -6.7645 1.7269
4.9270 -2.1379 7.1178
-3.2465 8.1879 -0.7841
Nd Y Pu Te
4 3 1 8
Cartesian
-2.7150 -3.3823 0.8635
-4.3382 0.7117 0.4714
0.0000 0.0000 0.0000
-1.6232 4.0940 -0.3921
-0.2515 -4.4512 4.4224
-1.8747 -0.3572 4.0303
0.8403 3.0250 3.1668
2.4635 -1.0689 3.5589
-0.9198 4.8698 4.9192
0.6947 0.7978 5.3093
-1.7383 1.8804 1.8999
-3.6203 1.5056 5.7781
-0.1292 -2.2201 2.2826
-2.0112 -2.5949 6.1607
-4.4442 -1.5123 2.7513
-2.8297 -5.5842 3.1414
```

Output
The value obtained for the formation energy from raw total energies is -1350 meV per atom. For the size of the total moment, the calculation gives 0.38 μB/atom. Its crystal system is trigonal. The value obtained for the calculated volume is 31.0 Å³ per atom. As for the calculated density: 7.1 g cm⁻³. The symmetry is R-3m (166).